# 1
The following is a GGA-PBE calculation of a relaxed PmHfCoIr crystal, from Alexandria.

Structure (POSCAR):
```
PmHfCoIr
1.0
6.7189 0.0000 0.0000
0.0000 6.7189 0.0000
0.0000 0.0000 6.7189
Pm Hf Co Ir
4 4 4 4
Direct
0.0000 0.0000 0.0000
0.0000 0.5000 0.5000
0.5000 0.0000 0.5000
0.5000 0.5000 0.0000
0.0000 0.0000 0.5000
0.0000 0.5000 0.0000
0.5000 0.0000 0.0000
0.5000 0.5000 0.5000
0.2500 0.2500 0.7500
0.2500 0.7500 0.2500
0.7500 0.2500 0.2500
0.7500 0.7500 0.7500
0.2500 0.2500 0.2500
0.2500 0.7500 0.7500
0.7500 0.2500 0.7500
0.7500 0.7500 0.2500
```

Calculated values
The final energy is -8.04 eV/atom. The calculation puts the volume at 303 Å³ per cell. As for the formation energy from the elements: -0.371 eV/atom.

# 2
The following is a GGA-PBE calculation of a relaxed TcPbW2 crystal, from Alexandria.

Structure (POSCAR):
```
TcPbW2
1.0
3.3482 0.0000 0.0000
0.0000 4.5448 0.0000
0.0000 0.0000 9.1362
Tc Pb W
2 2 4
Direct
0.0000 0.0000 0.0000
0.5000 0.5000 0.5000
0.0000 0.5000 0.2432
0.5000 0.0000 0.7432
0.0000 0.0000 0.4805
0.0000 0.5000 0.7498
0.5000 0.0000 0.2498
0.5000 0.5000 0.9805
```

Calculated values
The final energy is -9.25 eV/atom. The calculation puts the volume at 139 Å³ per cell. As for the formation energy from the elements: 0.749 eV/atom.

# 3
The following is a GGA-PBE calculation of a relaxed LuZn4Ag crystal, from Alexandria.

Structure (POSCAR):
```
LuZn4Ag
1.0
0.0000 3.7204 3.7204
3.7204 0.0000 3.7204
3.7204 3.7204 0.0000
Lu Zn Ag
1 4 1
Direct
0.0000 0.0000 0.0000
0.1243 0.6252 0.6252
0.6252 0.1243 0.6252
0.6252 0.6252 0.1243
0.6252 0.6252 0.6252
0.2500 0.2500 0.2500
```

Calculated values
The final energy is -2.25 eV/atom. The calculation puts the volume at 103 Å³ per cell. As for the formation energy from the elements: -0.171 eV/atom.

# 4
The following is a GGA-PBE calculation of a relaxed PrNd2Sm crystal, from Alexandria.

Structure (POSCAR):
```
PrNd2Sm
1.0
5.7338 0.0000 0.0000
0.0000 3.5990 0.0000
0.0000 0.0000 13.6229
Pr Nd Sm
2 4 2
Direct
0.0000 0.0000 0.0000
0.0000 0.5000 0.5000
0.0000 0.0000 0.7440
0.0000 0.5000 0.2440
0.5000 0.0000 0.6187
0.5000 0.5000 0.1187
0.5000 0.0000 0.3594
0.5000 0.5000 0.8594
```

Calculated values
The final energy is -4.71 eV/atom. The calculation puts the volume at 281 Å³ per cell. As for the formation energy from the elements: 0.046 eV/atom. The excess energy over the best structure of this formula in the dataset comes out at 33 meV per atom.

The highest final energy belongs to which entry? LuZn4Ag